{"formula": "Pu3PS2", "functional": "GGA-PBE", "state": "optimized geometry", "lattice_angstrom": [[3.4333, -5.9519, 0.0000], [3.4333, 5.9519, 0.0000], [-2.3003, 0.0000, 6.4858]], "species": ["P", "P", "Pu", "Pu", "Pu", "Pu", "Pu", "Pu", "S", "S", "S", "S"], "fractional_positions": [[0.4164, 0.5836, 0.2500], [0.5836, 0.4164, 0.7500], [0.3335, 0.1672, 0.0000], [0.0000, 0.5000, 0.0000], [0.6665, 0.8328, 0.0000], [0.1672, 0.3335, 0.5000], [0.5000, 0.0000, 0.5000], [0.8328, 0.6665, 0.5000], [0.7497, 0.2503, 0.2500], [0.0834, 0.9166, 0.2500], [0.9166, 0.0834, 0.7500], [0.2503, 0.7497, 0.7500]], "total_energy_ev_per_atom": -11.024, "total_magnetization_mub_per_fu": 16.38}

=====

{"formula": "PuPS", "functional": "GGA-PBE", "state": "optimized geometry", "lattice_angstrom": [[6.4330, -4.9179, -2.4830], [7.6477, -2.8477, 2.2666], [-8.1731, 1.7953, 1.3078]], "species": ["P", "P", "Pu", "Pu", "S", "S"], "fractional_positions": [[0.5000, 0.0000, 0.5000], [0.0000, 0.5000, 0.5000], [0.3607, 0.3607, 0.0000], [0.6393, 0.6393, 0.0000], [0.1831, 0.1831, 0.0000], [0.8169, 0.8169, 0.0000]], "total_energy_ev_per_atom": -9.199, "total_magnetization_mub_per_fu": 4.68}

=====

- Number 2 is which compound?
  PuPS